Entry from Alexandria via LeMat-Bulk: an optimized crystal structure of FeCu2Ru (PBE-GGA).

Output
Energy relative to the elements = 207 meV/atom
SG = Cm (8)
Excess energy over the best structure of this formula in the dataset = 21 kJ/mol of formula units

a b c (Å): 4.4795 4.4795 4.6280
angles (deg): 98.50 98.50 33.21
Last column: nearest neighbours and their distance in Å.
Fractional positions:
Fe (0.0000, 0.0000, 0.0000)  3 Ru 2.53-2.57, 2 Fe 2.56, 7 Cu 2.62-2.67
Cu (0.2510, 0.2510, 0.7280)  5 Cu 2.52-2.57, 4 Ru 2.63-2.66, 3 Fe 2.64-2.66
Cu (0.5015, 0.5015, 0.5057)  5 Cu 2.52-2.57, 4 Fe 2.62-2.67, 3 Ru 2.66-2.67
Ru (0.7496, 0.7496, 0.2249)  3 Fe 2.53-2.57, 2 Ru 2.56, 7 Cu 2.63-2.67



Entry from Alexandria via LeMat-Bulk: an optimized crystal structure of FeCuRu2 (PBE-GGA).

Output
Energy relative to the elements = 245 meV/atom
SG = Pmmm (47)

a b c (Å): 2.6467 3.6784 5.3032
angles (deg): 90.00 90.00 90.00
Last column: nearest neighbours and their distance in Å.
Fractional positions:
Fe (0.0000, 0.0000, 0.0000)  8 Ru 2.62, 2 Fe 2.65, 2 Cu 2.65
Cu (0.0000, 0.0000, 0.5000)  8 Ru 2.63, 2 Cu 2.65, 2 Fe 2.65
Ru (0.5000, 0.5000, 0.2472)  4 Fe 2.62, 4 Ru 2.62-2.68, 4 Cu 2.63
Ru (0.5000, 0.5000, 0.7528)  4 Fe 2.62, 4 Ru 2.62-2.68, 4 Cu 2.63



Entry from Alexandria via LeMat-Bulk: an optimized crystal structure of FeCu2Ru (PBE-GGA).

Output
Energy relative to the elements = 292 meV/atom
SG = Cmmm (65)
Excess energy over the best structure of this formula in the dataset = 54 kJ/mol of formula units

a b c (Å): 2.5398 2.5398 8.7732
angles (deg): 90.00 90.00 115.26
Last column: nearest neighbours and their distance in Å.
Fractional positions:
Fe (0.0000, 0.0000, 0.0000)  4 Cu 2.52, 6 Fe 2.54-2.72
Cu (0.5000, 0.5000, 0.2415)  2 Fe 2.52, 6 Cu 2.54-2.72, 2 Ru 2.64
Cu (0.5000, 0.5000, 0.7585)  2 Fe 2.52, 6 Cu 2.54-2.72, 2 Ru 2.64
Ru (0.0000, 0.0000, 0.5000)  6 Ru 2.54-2.72, 4 Cu 2.64



Entry from Alexandria via LeMat-Bulk: an optimized crystal structure of FeCuRu2 (PBE-GGA).

Output
Energy relative to the elements = 204 meV/atom
SG = Cm (8)

a b c (Å): 4.6108 4.6108 4.5054
angles (deg): 99.72 99.72 33.69
Last column: nearest neighbours and their distance in Å.
Fractional positions:
Fe (0.0000, 0.0000, 0.0000)  3 Cu 2.60-2.62, 7 Ru 2.60-2.70, 2 Fe 2.67
Cu (0.7488, 0.7488, 0.2265)  3 Fe 2.60-2.62, 7 Ru 2.62-2.71, 2 Cu 2.67
Ru (0.2490, 0.2490, 0.7267)  5 Ru 2.60-2.67, 4 Cu 2.62, 3 Fe 2.69-2.70
Ru (0.5021, 0.5021, 0.5055)  5 Ru 2.60-2.67, 4 Fe 2.60-2.64, 3 Cu 2.70-2.71



Entry from Alexandria via LeMat-Bulk: an optimized crystal structure of FeCuRu2 (PBE-GGA).

Output
Energy relative to the elements = 706 meV/atom
SG = I-42d (122)

a b c (Å): 5.4005 5.4005 5.4005
angles (deg): 102.08 102.08 125.54
Last column: nearest neighbours and their distance in Å.
Fractional positions:
Fe (0.0000, 0.0000, 0.0000)  4 Ru 2.26, 2 Cu 2.47
Fe (0.7500, 0.2500, 0.5000)  4 Ru 2.26, 2 Cu 2.47
Cu (0.2500, 0.7500, 0.5000)  2 Fe 2.47, 4 Ru 2.73
Cu (0.5000, 0.5000, 0.0000)  2 Fe 2.47, 4 Ru 2.73
Ru (0.0740, 0.6250, 0.9490)  2 Fe 2.26
Ru (0.3750, 0.3240, 0.4490)  2 Fe 2.26
Ru (0.6760, 0.1250, 0.0510)  2 Fe 2.26
Ru (0.8750, 0.9260, 0.5510)  2 Fe 2.26



Entry from Alexandria via LeMat-Bulk: an optimized crystal structure of FeCuRu (PBE-GGA).

Output
Energy relative to the elements = 222 meV/atom
SG = I4mm (107)
Excess energy over the best structure of this formula in the dataset = 10 kJ/mol of formula units

a b c (Å): 5.6956 5.6956 5.6956
angles (deg): 153.04 153.04 38.49
Last column: nearest neighbours and their distance in Å.
Fractional positions:
Fe (0.0000, 0.0000, 0.0000)  4 Ru 2.52, 4 Cu 2.58, 4 Fe 2.66
Cu (0.3352, 0.3352, 0.0000)  4 Fe 2.58, 4 Cu 2.66, 4 Ru 2.69
Ru (0.6564, 0.6564, 0.0000)  4 Fe 2.52, 4 Ru 2.66, 4 Cu 2.69